DFT (PBE-GGA) results for a relaxed structure of GdNbN2.

Properties
Its theoretical density is 9.07 g/cm3. The calculation puts the energy relative to the elements, uncorrected at -1304.2 meV per atom. As for the space-group type: R-3m. For the density of states at the Fermi level, the calculation gives 1.56 states/eV per cell. The crystal system is trigonal. The calculation puts the final energy at -46.02 eV/cell.

POSCAR file:
```
GdNbN2
1.0
-0.971 1.979 2.431
-2.427 -0.931 2.003
2.511 -1.966 4.819
Nb Gd N
1 1 2
Cartesian
-0.444 -0.459 4.626
0.000 0.000 0.000
-0.770 -0.622 6.844
-0.118 -0.296 2.409
```

DFT (PBE-GGA) results for a relaxed structure of GdNb2N.

Properties
Its theoretical density is 8.04 g/cm3. The calculation puts the energy relative to the elements, uncorrected at -187.3 meV per atom. As for the space-group type: R-3m. For the density of states at the Fermi level, the calculation gives 2.27 states/eV per cell. The crystal system is trigonal. The calculation puts the final energy at -43.30 eV/cell.

POSCAR file:
```
GdNb2N
1.0
-1.873 -2.153 -1.478
-1.641 -2.157 1.728
-7.538 3.781 0.551
Nb Gd N
2 1 1
Cartesian
-5.235 1.894 0.382
-5.817 -2.423 0.419
0.000 0.000 0.000
-5.526 -0.264 0.400
```

Repeat the first record exactly.
DFT (PBE-GGA) results for a relaxed structure of GdNbN2.

Properties
Its theoretical density is 9.07 g/cm3. The calculation puts the energy relative to the elements, uncorrected at -1304.2 meV per atom. As for the space-group type: R-3m. For the density of states at the Fermi level, the calculation gives 1.56 states/eV per cell. The crystal system is trigonal. The calculation puts the final energy at -46.02 eV/cell.

POSCAR file:
```
GdNbN2
1.0
-0.971 1.979 2.431
-2.427 -0.931 2.003
2.511 -1.966 4.819
Nb Gd N
1 1 2
Cartesian
-0.444 -0.459 4.626
0.000 0.000 0.000
-0.770 -0.622 6.844
-0.118 -0.296 2.409
```